# ScZn2SiBr | Alexandria | PBE | optimized geometry
# - Space group: No. 123
# - Energy: -16.27 eV per formula unit
data_ScZn2SiBr
_cell_length_a 4.6705
_cell_length_b 4.6705
_cell_length_c 5.3649
_cell_angle_alpha 90.00
_cell_angle_beta 90.00
_cell_angle_gamma 90.00
_space_group_name_H-M_alt 'P 1'
_space_group_IT_number 1
loop_
_space_group_symop_operation_xyz
'x,y,z'
loop_
_atom_site_label
_atom_site_fract_x
_atom_site_fract_y
_atom_site_fract_z
Sc1 0.0000 0.0000 0.0000
Zn1 0.0000 0.5000 0.5000
Zn2 0.5000 0.0000 0.5000
Si1 0.0000 0.0000 0.5000
Br1 0.5000 0.5000 0.0000